Record 1
! La6TlBi2Te3 PBE-GGA relaxed; values from VASP
&SYSTEM
  ibrav = 0, nat = 12, ntyp = 4
/
ATOMIC_SPECIES
La 138.91 La.upf
Tl 204.38 Tl.upf
Bi 208.98 Bi.upf
Te 127.60 Te.upf
ATOMIC_POSITIONS crystal
La 0.000 0.000 0.247
La 0.000 0.000 0.753
La 0.333 0.333 0.417
La 0.335 0.335 0.917
La 0.665 0.665 0.083
La 0.667 0.667 0.583
Tl 0.500 0.500 0.000
Bi 0.167 0.167 0.335
Bi 0.833 0.833 0.665
Te 0.168 0.168 0.834
Te 0.500 0.500 0.500
Te 0.832 0.832 0.166
CELL_PARAMETERS angstrom
10.103 -2.308 0.000
10.103 2.308 0.000
-2.061 0.000 9.103
! - Size of the total moment: 0.00 μB per cell
! - Crystal system: monoclinic
! - E_form (uncorrected): -1.215 eV/atom
! - E_tot: -5.31 eV/atom

=====

Record 2
! CoReNi PBE-GGA relaxed; values from VASP
&SYSTEM
  ibrav = 0, nat = 3, ntyp = 3
/
ATOMIC_SPECIES
Co 58.93 Co.upf
Re 186.21 Re.upf
Ni 58.69 Ni.upf
ATOMIC_POSITIONS crystal
Co 0.000 0.000 0.000
Re 0.250 0.250 0.250
Ni 0.750 0.750 0.750
CELL_PARAMETERS angstrom
0.000 2.744 2.744
2.744 0.000 2.744
2.744 2.744 0.000
! - Size of the total moment: 1.26 μB per cell
! - Crystal system: cubic
! - Formation energy: 0.539 eV/atom
! - Polymorph energy (0 for the lowest one): 593 meV per atom
! - E_tot: -7.91 eV/atom

=====

Record 3
! K4Er3InO8 PBE-GGA relaxed; values from VASP
&SYSTEM
  ibrav = 0, nat = 16, ntyp = 4
/
ATOMIC_SPECIES
K 39.10 K.upf
Er 167.26 Er.upf
In 114.82 In.upf
O 16.00 O.upf
ATOMIC_POSITIONS crystal
K 0.000 0.000 0.000
K 0.000 0.500 0.500
K 0.500 0.000 0.500
K 0.500 0.500 0.000
Er 0.000 0.000 0.500
Er 0.000 0.500 0.000
Er 0.500 0.000 0.000
In 0.500 0.500 0.500
O 0.228 0.228 0.228
O 0.229 0.729 0.729
O 0.271 0.271 0.771
O 0.271 0.771 0.271
O 0.729 0.229 0.729
O 0.729 0.729 0.229
O 0.771 0.271 0.271
O 0.772 0.772 0.772
CELL_PARAMETERS angstrom
3.421 1.975 6.249
-3.421 1.975 6.249
0.000 -3.950 6.249
! - Size of the total moment: 0.00 μB per cell
! - Crystal system: trigonal
! - E_form (uncorrected): -2.475 eV/atom
! - E_tot: -6.26 eV/atom

=====

Record 4
! ThTc4B2 PBE-GGA relaxed; values from VASP
&SYSTEM
  ibrav = 0, nat = 7, ntyp = 3
/
ATOMIC_SPECIES
Th 232.04 Th.upf
Tc 98.00 Tc.upf
B 10.81 B.upf
ATOMIC_POSITIONS crystal
Th 0.000 0.000 0.000
Tc 0.173 0.827 0.500
Tc 0.313 0.687 0.000
Tc 0.687 0.313 0.000
Tc 0.827 0.173 0.500
B 0.425 0.575 0.500
B 0.575 0.425 0.500
CELL_PARAMETERS angstrom
1.980 -6.463 0.000
1.980 6.463 0.000
0.000 0.000 3.890
! - Size of the total moment: 0.00 μB per cell
! - Crystal system: orthorhombic
! - Formation energy: -0.211 eV/atom
! - E_tot: -9.10 eV/atom

=====

Record 5
! KHfPb2 PBE-GGA relaxed; values from VASP
&SYSTEM
  ibrav = 0, nat = 8, ntyp = 3
/
ATOMIC_SPECIES
K 39.10 K.upf
Hf 178.49 Hf.upf
Pb 207.20 Pb.upf
ATOMIC_POSITIONS crystal
K 0.000 0.000 0.000
K 0.750 0.250 0.500
Hf 0.250 0.750 0.500
Hf 0.500 0.500 0.000
Pb 0.276 0.625 0.151
Pb 0.375 0.526 0.651
Pb 0.474 0.125 0.849
Pb 0.875 0.724 0.349
CELL_PARAMETERS angstrom
-3.117 3.117 9.204
3.117 -3.117 9.204
3.117 3.117 -9.204
! - Size of the total moment: 0.00 μB per cell
! - Crystal system: tetragonal
! - Formation energy: 0.425 eV/atom
! - Polymorph energy (0 for the lowest one): 382 meV per atom
! - E_tot: -4.19 eV/atom

=====

Record 6
! LaPm3H PBE-GGA relaxed; values from VASP
&SYSTEM
  ibrav = 0, nat = 5, ntyp = 3
/
ATOMIC_SPECIES
La 138.91 La.upf
Pm 145.00 Pm.upf
H 1.01 H.upf
ATOMIC_POSITIONS crystal
La 0.000 0.000 0.000
Pm 0.000 0.500 0.500
Pm 0.500 0.000 0.500
Pm 0.500 0.500 0.000
H 0.500 0.500 0.500
CELL_PARAMETERS angstrom
5.168 0.000 0.000
0.000 5.168 0.000
0.000 0.000 5.168
! - Size of the total moment: 0.00 μB per cell
! - Crystal system: cubic
! - E_tot: -4.68 eV/atom

=====

Record 7
! BaPrTc2O8 PBE-GGA relaxed; values from VASP
&SYSTEM
  ibrav = 0, nat = 12, ntyp = 4
/
ATOMIC_SPECIES
Ba 137.33 Ba.upf
Pr 140.91 Pr.upf
Tc 98.00 Tc.upf
O 16.00 O.upf
ATOMIC_POSITIONS crystal
Ba 0.000 0.000 0.000
Pr 0.000 0.000 0.500
Tc 0.333 0.667 0.784
Tc 0.667 0.333 0.216
O 0.167 0.334 0.708
O 0.167 0.833 0.708
O 0.333 0.667 0.011
O 0.334 0.167 0.292
O 0.666 0.833 0.708
O 0.667 0.333 0.989
O 0.833 0.167 0.292
O 0.833 0.666 0.292
CELL_PARAMETERS angstrom
6.001 0.000 0.000
-3.001 5.197 0.000
0.000 0.000 7.797
! - Size of the total moment: 3.00 μB per cell
! - Crystal system: trigonal
! - E_form (uncorrected): -2.028 eV/atom
! - E_tot: -7.62 eV/atom

=====

Record 8
! La2TlRe2 PBE-GGA relaxed; values from VASP
&SYSTEM
  ibrav = 0, nat = 10, ntyp = 3
/
ATOMIC_SPECIES
La 138.91 La.upf
Tl 204.38 Tl.upf
Re 186.21 Re.upf
ATOMIC_POSITIONS crystal
La 0.178 0.322 0.000
La 0.322 0.822 0.000
La 0.678 0.178 0.000
La 0.822 0.678 0.000
Tl 0.000 0.000 0.500
Tl 0.500 0.500 0.500
Re 0.112 0.612 0.500
Re 0.388 0.112 0.500
Re 0.612 0.888 0.500
Re 0.888 0.388 0.500
CELL_PARAMETERS angstrom
7.288 0.000 0.000
0.000 7.288 0.000
0.000 0.000 4.741
! - Size of the total moment: 0.00 μB per cell
! - Crystal system: tetragonal
! - Formation energy: 0.224 eV/atom
! - Polymorph energy (0 for the lowest one): 0 meV per atom
! - E_tot: -7.20 eV/atom